No. 1
The following is a DFT calculation (PBE-GGA) of a relaxed SbHPd2Pb crystal.

Cell lengths 5.2286, 3.6352, 5.2286 Å; angles 90.00, 90.00, 90.00 degrees
Element x y z (fractional)
Pb 0.0000 0.0000 0.0000
Sb 0.5000 0.5000 0.5000
Pd 0.0000 0.0000 0.5000
Pd 0.5000 0.0000 0.0000
H 0.0000 0.5000 0.0000

Crystal system: tetragonal
SG: P4/mmm, No. 123

---

No. 2
The following is a DFT calculation (PBE-GGA) of a relaxed Dy2HoAl2Zn2 crystal.

Cell lengths 4.4982, 4.4982, 9.3891 Å; angles 76.14, 76.14, 60.00 degrees
Element x y z (fractional)
Dy 0.1271 0.1271 0.6186
Dy 0.8729 0.8729 0.3814
Ho 0.0000 0.0000 0.0000
Al 0.7354 0.7354 0.7937
Al 0.2646 0.2646 0.2063
Zn 0.6029 0.6029 0.1913
Zn 0.3971 0.3971 0.8087

Crystal system: trigonal
ΔE_f, eV/f.u.: -2.172
SG: R-3m, No. 166

---

No. 3
The following is a DFT calculation (PBE-GGA) of a relaxed NdBi2Sb crystal.

Cell lengths 5.2389, 4.8094, 4.8094 Å; angles 90.00, 90.00, 90.00 degrees
Element x y z (fractional)
Sb 0.5000 0.5000 0.5000
Nd 0.5000 0.0000 0.0000
Bi 0.0000 0.0000 0.5000
Bi 0.0000 0.5000 0.0000

Distance to the lowest polymorph of the same formula, meV/atom: 0
Crystal system: tetragonal
E_form (uncorrected), meV/atom: -457
SG: P4/mmm, No. 123

---

No. 4
The following is a DFT calculation (PBE-GGA) of a relaxed BaCdNi crystal.

Cell lengths 5.0071, 5.0071, 5.0071 Å; angles 60.00, 60.00, 60.00 degrees
Element x y z (fractional)
Ba 0.0000 0.0000 0.0000
Cd 0.5000 0.5000 0.5000
Ni 0.7500 0.7500 0.7500

Crystal system: cubic
ΔE_f, eV/f.u.: 0.221
SG: F-43m, No. 216

---

Number 1: magnetization 0.000 μB/atom, energy -3.9719 eV/atom. Number 2: magnetization 0.000 μB/atom, energy -3.7125 eV/atom. Number 3: magnetization 0.000 μB/atom, energy -4.6204 eV/atom. Number 4: magnetization 0.000 μB/atom, energy -2.7993 eV/atom.